The following is a PBE calculation of a relaxed structure of ZnCd2Pt, from the Alexandria database.

Unit cell a=4.893 b=4.893 c=3.099 alpha=89.99 beta=89.99 gamma=105.52
Atoms (fractional coordinates):
Pt (0.500, 0.000, 0.500)
Cd (0.000, 0.000, 0.000)
Cd (0.500, 0.500, 0.000)
Zn (0.000, 0.500, 0.500)

Values from the calculation:
space-group type	No. 65
formation energy from the elements	-0.145	eV per atom
raw total energy	-2.4315	eV/atom
V	17.87	Å³ per atom

***

The following is a PBE calculation of a relaxed structure of ZnCd3Pt6, from the Alexandria database.

Unit cell a=4.139 b=8.788 c=9.134 alpha=93.24 beta=90.00 gamma=90.00
Atoms (fractional coordinates):
Pt (0.250, 0.867, 0.315)
Pt (0.750, 0.133, 0.685)
Zn (0.250, 0.947, 0.608)
Cd (0.750, 0.246, 0.998)
Pt (0.250, 0.046, 0.894)
Cd (0.250, 0.347, 0.794)
Cd (0.250, 0.552, 0.402)
Zn (0.750, 0.053, 0.392)
Pt (0.750, 0.340, 0.301)
Pt (0.250, 0.449, 0.101)
Pt (0.250, 0.660, 0.699)
Cd (0.250, 0.754, 0.002)
Pt (0.750, 0.769, 0.508)
Pt (0.750, 0.551, 0.899)
Pt (0.750, 0.850, 0.803)
Cd (0.750, 0.448, 0.598)
Pt (0.250, 0.150, 0.197)
Pt (0.750, 0.954, 0.106)
Cd (0.750, 0.653, 0.206)
Pt (0.250, 0.231, 0.492)

Values from the calculation:
space-group type	No. 11
formation energy from the elements	-0.309	eV per atom
raw total energy	-4.3356	eV/atom
V	16.58	Å³ per atom

***

The following is a PBE calculation of a relaxed structure of ZnCdPt2, from the Alexandria database.

Unit cell a=3.788 b=4.130 c=4.130 alpha=90.00 beta=90.00 gamma=90.00
Atoms (fractional coordinates):
Pt (0.000, 0.500, 0.500)
Cd (0.500, 0.000, 0.500)
Pt (0.000, 0.000, 0.000)
Zn (0.500, 0.500, 0.000)

Values from the calculation:
space-group type	No. 123
formation energy from the elements	-0.401	eV per atom
raw total energy	-3.9682	eV/atom
V	16.15	Å³ per atom

***

The following is a PBE calculation of a relaxed structure of ZnCd2Pt, from the Alexandria database.

Unit cell a=5.187 b=5.187 c=5.187 alpha=136.25 beta=131.30 gamma=67.52
Atoms (fractional coordinates):
Cd (0.742, 0.242, 0.500)
Cd (0.010, 0.010, 0.000)
Pt (0.481, 0.481, 0.000)
Zn (0.267, 0.767, 0.500)

Values from the calculation:
space-group type	No. 44
formation energy from the elements	-0.219	eV per atom
raw total energy	-2.5048	eV/atom
V	17.82	Å³ per atom